Entry 1:
# NaBi2Au (PBE, relaxed)
# Energy relative to the lowest polymorph listed for this composition: 0.17 eV per formula unit
# Energy of formation from the pure elements: -0.13 eV per atom
data_NaBi2Au
_chemical_formula_sum 'Na4 Bi8 Au4'
_cell_length_a 9.175
_cell_length_b 9.175
_cell_length_c 5.847
_cell_angle_alpha 90.00
_cell_angle_beta 90.00
_cell_angle_gamma 90.00
_symmetry_space_group_name_H-M 'I -4 2 d'
_symmetry_Int_Tables_number 122
_symmetry_space_group_name_Hall 'I -4 2bw'
loop_
_atom_site_label
_atom_site_type_symbol
_atom_site_fract_x
_atom_site_fract_y
_atom_site_fract_z
_atom_site_occupancy
Na1 Na 0.000 0.000 0.000 1
Bi1 Bi 0.168 0.250 0.625 1
Au1 Au 0.000 0.000 0.500 1

***

Entry 2:
# NaSb3Se (PBE, relaxed)
# Energy relative to the lowest polymorph listed for this composition: 0.00 eV per formula unit
# Uncorrected formation energy: 0.3589 eV/atom
data_NaSb3Se
_chemical_formula_sum 'Na1 Sb3 Se1'
_cell_length_a 5.519
_cell_length_b 5.519
_cell_length_c 5.519
_cell_angle_alpha 90.00
_cell_angle_beta 90.00
_cell_angle_gamma 90.00
_symmetry_space_group_name_H-M 'P m -3 m'
_symmetry_Int_Tables_number 221
_symmetry_space_group_name_Hall '-P 4 2 3'
loop_
_atom_site_label
_atom_site_type_symbol
_atom_site_fract_x
_atom_site_fract_y
_atom_site_fract_z
_atom_site_occupancy
Na1 Na 0.000 0.000 0.000 1
Sb1 Sb 0.000 0.500 0.500 1
Se1 Se 0.500 0.500 0.500 1

***

Entry 3:
# AcSm3P (PBE, relaxed)
# Energy of formation from the pure elements: -0.44 eV per atom
data_AcSm3P
_chemical_formula_sum 'Ac1 Sm3 P1'
_cell_length_a 5.579
_cell_length_b 5.579
_cell_length_c 5.579
_cell_angle_alpha 90.00
_cell_angle_beta 90.00
_cell_angle_gamma 90.00
_symmetry_space_group_name_H-M 'P m -3 m'
_symmetry_Int_Tables_number 221
_symmetry_space_group_name_Hall '-P 4 2 3'
loop_
_atom_site_label
_atom_site_type_symbol
_atom_site_fract_x
_atom_site_fract_y
_atom_site_fract_z
_atom_site_occupancy
Ac1 Ac 0.000 0.000 0.000 1
Sm1 Sm 0.000 0.500 0.500 1
P1 P 0.500 0.500 0.500 1

***

Entry 4:
# LiHgPd6 (PBE, relaxed)
# Energy relative to the lowest polymorph listed for this composition: 0.08 eV per formula unit
# Energy of formation from the pure elements: -0.15 eV per atom
data_LiHgPd6
_chemical_formula_sum 'Li1 Hg1 Pd6'
_cell_length_a 5.6378
_cell_length_b 5.6378
_cell_length_c 4.6067
_cell_angle_alpha 90.00
_cell_angle_beta 90.00
_cell_angle_gamma 120.00
_symmetry_space_group_name_H-M 'P -6 m 2'
_symmetry_Int_Tables_number 187
_symmetry_space_group_name_Hall 'P -6 2'
loop_
_atom_site_label
_atom_site_type_symbol
_atom_site_fract_x
_atom_site_fract_y
_atom_site_fract_z
_atom_site_occupancy
Li1 Li 0.0000 0.0000 0.0000 1
Hg1 Hg 0.3333 0.6667 0.5000 1
Pd1 Pd 0.3318 0.1659 0.5000 1
Pd2 Pd 0.5027 0.0054 0.0000 1

***

Entry 5:
# Li5Al3 (PBE, relaxed)
# Energy relative to the lowest polymorph listed for this composition: 0.73 eV per formula unit
# Energy of formation from the pure elements: -0.03 eV per atom
data_Li5Al3
_chemical_formula_sum 'Li20 Al12'
_cell_length_a 4.953
_cell_length_b 14.658
_cell_length_c 7.877
_cell_angle_alpha 90.00
_cell_angle_beta 107.81
_cell_angle_gamma 90.00
_symmetry_space_group_name_H-M 'C 1 2 1'
_symmetry_Int_Tables_number 5
loop_
_symmetry_equiv_pos_as_xyz
'x,y,z'
'-x,y,-z'
'x+1/2,y+1/2,z'
'-x+1/2,y+1/2,-z'
loop_
_atom_site_label
_atom_site_type_symbol
_atom_site_fract_x
_atom_site_fract_y
_atom_site_fract_z
_atom_site_occupancy
Li1 Li 0.100 0.000 0.199 1
Li2 Li 0.100 0.339 0.200 1
Li3 Li 0.165 0.570 0.332 1
Li4 Li 0.166 0.769 0.333 1
Li5 Li 0.250 0.169 0.001 1
Al1 Al 0.000 0.421 0.500 1
Al2 Al 0.000 0.488 0.000 1
Al3 Al 0.000 0.851 0.000 1
Al4 Al 0.000 0.918 0.500 1
Al5 Al 0.180 0.169 0.366 1

***

Entry 6:
# Na2LiNbSe (PBE, relaxed)
# Uncorrected formation energy: 1.1128 eV/atom
data_Na2LiNbSe
_chemical_formula_sum 'Na2 Li1 Nb1 Se1'
_cell_length_a 5.708
_cell_length_b 5.708
_cell_length_c 5.144
_cell_angle_alpha 90.00
_cell_angle_beta 90.00
_cell_angle_gamma 90.00
_symmetry_space_group_name_H-M 'P 4/m m m'
_symmetry_Int_Tables_number 123
_symmetry_space_group_name_Hall '-P 4 2'
loop_
_atom_site_label
_atom_site_type_symbol
_atom_site_fract_x
_atom_site_fract_y
_atom_site_fract_z
_atom_site_occupancy
Na1 Na 0.000 0.500 0.000 1
Li1 Li 0.000 0.000 0.500 1
Nb1 Nb 0.000 0.000 0.000 1
Se1 Se 0.500 0.500 0.500 1

***

Entry 7:
# HPdS2N (PBE, relaxed)
# Energy relative to the lowest polymorph listed for this composition: 0.74 eV per formula unit
data_HPdS2N
_chemical_formula_sum 'H1 Pd1 S2 N1'
_cell_length_a 4.970
_cell_length_b 4.970
_cell_length_c 3.698
_cell_angle_alpha 90.00
_cell_angle_beta 90.00
_cell_angle_gamma 90.00
_symmetry_space_group_name_H-M 'P 4/m m m'
_symmetry_Int_Tables_number 123
_symmetry_space_group_name_Hall '-P 4 2'
loop_
_atom_site_label
_atom_site_type_symbol
_atom_site_fract_x
_atom_site_fract_y
_atom_site_fract_z
_atom_site_occupancy
H1 H 0.000 0.000 0.000 1
Pd1 Pd 0.500 0.500 0.500 1
S1 S 0.000 0.500 0.500 1
N1 N 0.500 0.500 0.000 1

***

Entry 8:
# LaTb2PrSm4 (PBE, relaxed)
# Energy of formation from the pure elements: 0.02 eV per atom
data_LaTb2PrSm4
_chemical_formula_sum 'La1 Tb2 Pr1 Sm4'
_cell_length_a 6.277
_cell_length_b 3.643
_cell_length_c 12.114
_cell_angle_alpha 90.00
_cell_angle_beta 100.12
_cell_angle_gamma 90.00
_symmetry_space_group_name_H-M 'P 1 2/m 1'
_symmetry_Int_Tables_number 10
loop_
_symmetry_equiv_pos_as_xyz
'x,y,z'
'-x,-y,-z'
'-x,y,-z'
'x,-y,z'
loop_
_atom_site_label
_atom_site_type_symbol
_atom_site_fract_x
_atom_site_fract_y
_atom_site_fract_z
_atom_site_occupancy
La1 La 0.000 0.000 0.000 1
Tb1 Tb 0.500 0.000 0.500 1
Tb2 Tb 0.500 0.500 0.000 1
Pr1 Pr 0.000 0.500 0.500 1
Sm1 Sm 0.250 0.000 0.750 1
Sm2 Sm 0.252 0.500 0.252 1

***

Entry 9:
# ZnAs2W (PBE, relaxed)
# Energy of formation from the pure elements: 0.28 eV per atom
data_ZnAs2W
_chemical_formula_sum 'Zn1 As2 W1'
_cell_length_a 3.402
_cell_length_b 3.402
_cell_length_c 6.513
_cell_angle_alpha 90.00
_cell_angle_beta 90.00
_cell_angle_gamma 90.00
_symmetry_space_group_name_H-M 'P 4 m m'
_symmetry_Int_Tables_number 99
loop_
_symmetry_equiv_pos_as_xyz
'x,y,z'
'-y,x,z'
'-x,-y,z'
'y,-x,z'
'-x,y,z'
'y,x,z'
'x,-y,z'
'-y,-x,z'
loop_
_atom_site_label
_atom_site_type_symbol
_atom_site_fract_x
_atom_site_fract_y
_atom_site_fract_z
_atom_site_occupancy
Zn1 Zn 0.000 0.000 0.000 1
As1 As 0.000 0.000 0.591 1
As2 As 0.500 0.500 0.148 1
W1 W 0.500 0.500 0.763 1

***

Entry 10:
# InSiTc2 (PBE, relaxed)
# Energy relative to the lowest polymorph listed for this composition: 0.87 eV per formula unit
# Uncorrected formation energy: 0.1322 eV/atom
data_InSiTc2
_chemical_formula_sum 'In2 Si2 Tc4'
_cell_length_a 9.563
_cell_length_b 3.047
_cell_length_c 4.520
_cell_angle_alpha 90.00
_cell_angle_beta 108.49
_cell_angle_gamma 90.00
_symmetry_space_group_name_H-M 'C 1 m 1'
_symmetry_Int_Tables_number 8
loop_
_symmetry_equiv_pos_as_xyz
'x,y,z'
'x,-y,z'
'x+1/2,y+1/2,z'
'x+1/2,-y+1/2,z'
loop_
_atom_site_label
_atom_site_type_symbol
_atom_site_fract_x
_atom_site_fract_y
_atom_site_fract_z
_atom_site_occupancy
In1 In 0.000 0.000 0.000 1
Si1 Si 0.271 0.500 0.352 1
Tc1 Tc 0.241 0.000 0.813 1
Tc2 Tc 0.499 0.000 0.492 1

***

Entry 11:
# RbSr2CdIr (PBE, relaxed)
# Energy of formation from the pure elements: -0.04 eV per atom
data_RbSr2CdIr
_chemical_formula_sum 'Rb1 Sr2 Cd1 Ir1'
_cell_length_a 5.866
_cell_length_b 5.866
_cell_length_c 5.564
_cell_angle_alpha 90.00
_cell_angle_beta 90.00
_cell_angle_gamma 90.00
_symmetry_space_group_name_H-M 'P 4/m m m'
_symmetry_Int_Tables_number 123
_symmetry_space_group_name_Hall '-P 4 2'
loop_
_atom_site_label
_atom_site_type_symbol
_atom_site_fract_x
_atom_site_fract_y
_atom_site_fract_z
_atom_site_occupancy
Rb1 Rb 0.000 0.000 0.000 1
Sr1 Sr 0.000 0.500 0.500 1
Cd1 Cd 0.500 0.500 0.000 1
Ir1 Ir 0.500 0.500 0.500 1

***

Entry 12:
# Ca2SmTh (PBE, relaxed)
# Energy of formation from the pure elements: 0.27 eV per atom
data_Ca2SmTh
_chemical_formula_sum 'Ca6 Sm3 Th3'
_cell_length_a 3.5315
_cell_length_b 3.5315
_cell_length_c 40.0142
_cell_angle_alpha 90.00
_cell_angle_beta 90.00
_cell_angle_gamma 120.00
_symmetry_space_group_name_H-M 'R -3 m'
_symmetry_Int_Tables_number 166
_symmetry_space_group_name_Hall '-R 3 2"'
loop_
_atom_site_label
_atom_site_type_symbol
_atom_site_fract_x
_atom_site_fract_y
_atom_site_fract_z
_atom_site_occupancy
Ca1 Ca 0.0000 0.0000 0.0881 1
Sm1 Sm 0.0000 0.0000 0.5000 1
Th1 Th 0.0000 0.0000 0.0000 1

***

Entry 13:
# PrNdAlAg (PBE, relaxed)
# Energy relative to the lowest polymorph listed for this composition: 0.11 eV per formula unit
# Energy of formation from the pure elements: -0.28 eV per atom
data_PrNdAlAg
_chemical_formula_sum 'Pr4 Nd4 Al4 Ag4'
_cell_length_a 7.557
_cell_length_b 7.557
_cell_length_c 7.557
_cell_angle_alpha 90.00
_cell_angle_beta 90.00
_cell_angle_gamma 90.00
_symmetry_space_group_name_H-M 'F -4 3 m'
_symmetry_Int_Tables_number 216
_symmetry_space_group_name_Hall 'F -4 2 3'
loop_
_atom_site_label
_atom_site_type_symbol
_atom_site_fract_x
_atom_site_fract_y
_atom_site_fract_z
_atom_site_occupancy
Pr1 Pr 0.000 0.000 0.000 1
Nd1 Nd 0.000 0.000 0.500 1
Al1 Al 0.250 0.250 0.250 1
Ag1 Ag 0.250 0.250 0.750 1

***

Entry 14:
# Pm2Sc17 (PBE, relaxed)
# Energy of formation from the pure elements: 0.24 eV per atom
data_Pm2Sc17
_chemical_formula_sum 'Pm6 Sc51'
_cell_length_a 10.5503
_cell_length_b 10.5503
_cell_length_c 15.9628
_cell_angle_alpha 90.00
_cell_angle_beta 90.00
_cell_angle_gamma 120.00
_symmetry_space_group_name_H-M 'R -3 m'
_symmetry_Int_Tables_number 166
_symmetry_space_group_name_Hall '-R 3 2"'
loop_
_atom_site_label
_atom_site_type_symbol
_atom_site_fract_x
_atom_site_fract_y
_atom_site_fract_z
_atom_site_occupancy
Pm1 Pm 0.0000 0.0000 0.1654 1
Sc1 Sc 0.0000 0.0000 0.3985 1
Sc2 Sc 0.0000 0.2958 0.5000 1
Sc3 Sc 0.0000 0.5000 0.0000 1
Sc4 Sc 0.0059 0.5029 0.6420 1

***

Entry 15:
# V7GeC2 (PBE, relaxed)
# Energy of formation from the pure elements: -0.03 eV per atom
data_V7GeC2
_chemical_formula_sum 'V14 Ge2 C4'
_cell_length_a 6.490
_cell_length_b 10.304
_cell_length_c 3.912
_cell_angle_alpha 90.00
_cell_angle_beta 90.00
_cell_angle_gamma 90.00
_symmetry_space_group_name_H-M 'C m m m'
_symmetry_Int_Tables_number 65
_symmetry_space_group_name_Hall '-C 2 2'
loop_
_atom_site_label
_atom_site_type_symbol
_atom_site_fract_x
_atom_site_fract_y
_atom_site_fract_z
_atom_site_occupancy
V1 V 0.000 0.000 0.000 1
V2 V 0.000 0.236 0.500 1
V3 V 0.206 0.367 0.000 1
Ge1 Ge 0.000 0.500 0.500 1
C1 C 0.000 0.207 0.000 1

***

Entry 16:
# Al2CdMo2 (PBE, relaxed)
# Energy relative to the lowest polymorph listed for this composition: 0.18 eV per formula unit
# Energy of formation from the pure elements: 0.14 eV per atom
data_Al2CdMo2
_chemical_formula_sum 'Al4 Cd2 Mo4'
_cell_length_a 6.949
_cell_length_b 6.949
_cell_length_c 3.391
_cell_angle_alpha 90.00
_cell_angle_beta 90.00
_cell_angle_gamma 90.00
_symmetry_space_group_name_H-M 'P 4/m b m'
_symmetry_Int_Tables_number 127
_symmetry_space_group_name_Hall '-P 4 2ab'
loop_
_atom_site_label
_atom_site_type_symbol
_atom_site_fract_x
_atom_site_fract_y
_atom_site_fract_z
_atom_site_occupancy
Al1 Al 0.128 0.372 0.000 1
Cd1 Cd 0.000 0.000 0.000 1
Mo1 Mo 0.169 0.669 0.500 1

***

Entry 17:
# Mg3Pd4 (PBE, relaxed)
# Energy relative to the lowest polymorph listed for this composition: 0.00 eV per formula unit
# Energy of formation from the pure elements: -0.68 eV per atom
data_Mg3Pd4
_chemical_formula_sum 'Mg18 Pd24'
_cell_length_a 11.8540
_cell_length_b 11.8540
_cell_length_c 5.4977
_cell_angle_alpha 90.00
_cell_angle_beta 90.00
_cell_angle_gamma 120.00
_symmetry_space_group_name_H-M 'R -3'
_symmetry_Int_Tables_number 148
_symmetry_space_group_name_Hall '-R 3'
loop_
_atom_site_label
_atom_site_type_symbol
_atom_site_fract_x
_atom_site_fract_y
_atom_site_fract_z
_atom_site_occupancy
Mg1 Mg 0.0462 0.8153 0.1805 1
Pd1 Pd 0.0000 0.0000 0.0000 1
Pd2 Pd 0.0000 0.0000 0.5000 1
Pd3 Pd 0.0487 0.8039 0.6732 1

***

Entry 18:
# PaCdGa2 (PBE, relaxed)
# Energy relative to the lowest polymorph listed for this composition: 0.54 eV per formula unit
# Energy of formation from the pure elements: -0.04 eV per atom
data_PaCdGa2
_chemical_formula_sum 'Pa1 Cd1 Ga2'
_cell_length_a 3.389
_cell_length_b 3.389
_cell_length_c 7.345
_cell_angle_alpha 90.00
_cell_angle_beta 90.00
_cell_angle_gamma 90.00
_symmetry_space_group_name_H-M 'P 4/m m m'
_symmetry_Int_Tables_number 123
_symmetry_space_group_name_Hall '-P 4 2'
loop_
_atom_site_label
_atom_site_type_symbol
_atom_site_fract_x
_atom_site_fract_y
_atom_site_fract_z
_atom_site_occupancy
Pa1 Pa 0.000 0.000 0.000 1
Cd1 Cd 0.000 0.000 0.500 1
Ga1 Ga 0.500 0.500 0.265 1

***

Entry 19:
# PmSi3Ru2 (PBE, relaxed)
# Uncorrected formation energy: -0.7106 eV/atom
data_PmSi3Ru2
_chemical_formula_sum 'Pm4 Si12 Ru8'
_cell_length_a 9.511
_cell_length_b 7.454
_cell_length_c 5.609
_cell_angle_alpha 90.00
_cell_angle_beta 90.00
_cell_angle_gamma 90.00
_symmetry_space_group_name_H-M 'C m c m'
_symmetry_Int_Tables_number 63
_symmetry_space_group_name_Hall '-C 2c 2'
loop_
_atom_site_label
_atom_site_type_symbol
_atom_site_fract_x
_atom_site_fract_y
_atom_site_fract_z
_atom_site_occupancy
Pm1 Pm 0.000 0.161 0.250 1
Si1 Si 0.000 0.438 0.750 1
Si2 Si 0.178 0.212 0.750 1
Ru1 Ru 0.203 0.500 0.000 1

***

Entry 20:
# Li2Ag5Sn (PBE, relaxed)
# Energy relative to the lowest polymorph listed for this composition: 0.00 eV per formula unit
# Energy of formation from the pure elements: -0.16 eV per atom
data_Li2Ag5Sn
_chemical_formula_sum 'Li4 Ag10 Sn2'
_cell_length_a 5.683
_cell_length_b 11.542
_cell_length_c 4.348
_cell_angle_alpha 90.00
_cell_angle_beta 90.00
_cell_angle_gamma 90.00
_symmetry_space_group_name_H-M 'P b a m'
_symmetry_Int_Tables_number 55
loop_
_symmetry_equiv_pos_as_xyz
'x,y,z'
'-x,-y,-z'
'-x,-y,z'
'x,y,-z'
'x+1/2,-y+1/2,-z'
'-x+1/2,y+1/2,z'
'-x+1/2,y+1/2,-z'
'x+1/2,-y+1/2,z'
loop_
_atom_site_label
_atom_site_type_symbol
_atom_site_fract_x
_atom_site_fract_y
_atom_site_fract_z
_atom_site_occupancy
Li1 Li 0.232 0.129 0.000 1
Ag1 Ag 0.000 0.000 0.500 1
Ag2 Ag 0.021 0.751 0.500 1
Ag3 Ag 0.239 0.373 0.000 1
Sn1 Sn 0.000 0.500 0.500 1